[1]
Tb2CeGa3 | PBE-GGA | relaxed

abc: 3.5311 6.0378 8.1407
angles: 111.77 102.53 90.00
Element x y z (fractional)
Ga 0.6676 0.6676 0.3353
Ga 0.3324 0.3324 0.6647
Ga 0.0000 0.0000 0.0000
Tb 0.3330 0.8330 0.6660
Tb 0.6670 0.1670 0.3340
Ce 0.0000 0.5000 0.0000

E_tot   -26.10 eV per cell
Space-group type   Immm
ΔE_f   -29.3 kJ per mole of atoms
Distance to the lowest polymorph of the same formula   240 meV per atom
Magnetic moment   0.7 μB per formula unit

[2]
TbCe4Ga4 | PBE-GGA | relaxed

abc: 5.9091 8.5620 8.5620
angles: 90.00 90.00 90.00
Element x y z (fractional)
Ga 0.6042 0.1088 0.8089
Ga 0.8958 0.3912 0.6911
Ga 0.3958 0.8089 0.8912
Ga 0.8958 0.6088 0.3089
Ga 0.1042 0.3089 0.3912
Ga 0.1042 0.6911 0.6088
Ga 0.3958 0.1911 0.1088
Ga 0.6042 0.8912 0.1911
Ce 0.3703 0.4331 0.8481
Ce 0.8703 0.6519 0.9331
Ce 0.6297 0.8481 0.5669
Ce 0.1297 0.9331 0.3481
Ce 0.6297 0.1519 0.4331
Ce 0.8703 0.3481 0.0669
Ce 0.1297 0.0669 0.6519
Ce 0.3703 0.5669 0.1519
Tb 0.5000 0.5000 0.5000
Tb 0.0000 0.0000 0.0000

E_tot   -85.76 eV per cell
Space-group type   P4_2/n
ΔE_f   -25.8 kJ per mole of atoms
Magnetic moment   2.5 μB per formula unit

[3]
TbCe2Ga | PBE-GGA | relaxed

abc: 3.2207 3.2207 11.6901
angles: 82.08 82.08 60.00
Element x y z (fractional)
Ce 0.0931 0.0931 0.7206
Ce 0.9069 0.9069 0.2794
Tb 0.0000 0.0000 0.0000
Ga 0.5000 0.5000 0.5000

E_tot   -19.34 eV per cell
Space-group type   R-3m
ΔE_f   4.3 kJ per mole of atoms
Distance to the lowest polymorph of the same formula   335 meV per atom
Magnetic moment   0.0 μB per formula unit

[4]
TbCeGa | PBE-GGA | relaxed

abc: 3.5042 5.1301 16.8208
angles: 90.00 90.00 90.00
Element x y z (fractional)
Ga 0.9998 0.2500 0.9176
Ga 0.4998 0.7500 0.5824
Ga 0.5002 0.2500 0.4176
Ga 0.0002 0.7500 0.0824
Ce 0.5000 0.2500 0.7674
Ce 0.5000 0.7500 0.2326
Ce 0.0000 0.2500 0.2674
Ce 0.0000 0.7500 0.7326
Tb 0.5003 0.2500 0.0724
Tb 0.0003 0.7500 0.4276
Tb 0.9997 0.2500 0.5724
Tb 0.4997 0.7500 0.9276

E_tot   -58.51 eV per cell
Space-group type   Cmcm
ΔE_f   -33.3 kJ per mole of atoms
Distance to the lowest polymorph of the same formula   0 meV per atom
Magnetic moment   0.0 μB per formula unit

[5]
TbCeGa | PBE-GGA | relaxed

abc: 3.6103 4.9518 4.9518
angles: 120.00 90.00 90.00
Element x y z (fractional)
Ga 0.3641 0.3333 0.6667
Tb 0.6127 0.6667 0.3333
Ce 0.0232 0.0000 0.0000

E_tot   -14.20 eV per cell
Space-group type   P3m1
ΔE_f   -19.7 kJ per mole of atoms
Distance to the lowest polymorph of the same formula   141 meV per atom
Magnetic moment   0.8 μB per formula unit

[6]
Tb3CeGa2 | PBE-GGA | relaxed

abc: 5.2221 7.0797 9.2478
angles: 112.55 106.46 89.93
Element x y z (fractional)
Ga 0.3466 0.3467 0.6934
Ga 0.3465 0.8467 0.6933
Ga 0.6534 0.6533 0.3066
Ga 0.6535 0.1533 0.3067
Ce 0.0000 0.0000 0.0000
Ce 0.0000 0.5000 0.0000
Tb 0.5000 0.2500 0.0000
Tb 0.1798 0.9300 0.3600
Tb 0.5000 0.7500 0.0000
Tb 0.8202 0.0700 0.6400
Tb 0.8202 0.5700 0.6400
Tb 0.1798 0.4300 0.3600

E_tot   -55.48 eV per cell
Space-group type   C2/m
ΔE_f   -29.9 kJ per mole of atoms
Magnetic moment   0.0 μB per formula unit

[7]
TbCeGa2 | PBE-GGA | relaxed

abc: 3.6266 3.6266 9.2076
angles: 78.64 78.64 60.00
Element x y z (fractional)
Ce 0.0000 0.0000 0.0000
Ga 0.7516 0.7516 0.7452
Ga 0.2484 0.2484 0.2548
Tb 0.5000 0.5000 0.5000

E_tot   -17.93 eV per cell
Space-group type   R-3m
ΔE_f   -31.5 kJ per mole of atoms
Magnetic moment   0.5 μB per formula unit

[8]
TbCe2Ga | PBE-GGA | relaxed

abc: 3.8903 3.8903 7.2446
angles: 90.00 90.00 90.00
Element x y z (fractional)
Ce 0.0000 0.0000 0.1930
Ce 0.0000 0.0000 0.8070
Tb 0.5000 0.5000 0.5000
Ga 0.5000 0.5000 0.0000

E_tot   -20.22 eV per cell
Space-group type   P4/mmm
ΔE_f   -16.7 kJ per mole of atoms
Distance to the lowest polymorph of the same formula   117 meV per atom
Magnetic moment   0.0 μB per formula unit